Density functional theory data (PBE) for Ho3Tl4CrS8 after structural relaxation.

Output
DFT total energy	-85.25	eV/f.u.
DOS at the Fermi energy	0.012	states/eV per atom
E_form (uncorrected)	-1.213	eV/atom
calculated volume	24.9	Å³/atom
SG	R-3m (166)

Lattice parameters (Å, degrees): 8.768 8.768 8.768 53.02 53.02 53.02
Sites, in units of the cell vectors:
Ho: 0.000 0.500 0.500
Ho: 0.500 0.000 0.500
Ho: 0.500 0.500 0.000
Tl: 0.000 0.000 0.500
Tl: 0.000 0.500 0.000
Tl: 0.500 0.000 0.000
Tl: 0.500 0.500 0.500
Cr: 0.000 0.000 0.000
S: 0.218 0.218 0.752
S: 0.218 0.752 0.218
S: 0.248 0.782 0.782
S: 0.267 0.267 0.267
S: 0.733 0.733 0.733
S: 0.752 0.218 0.218
S: 0.782 0.248 0.782
S: 0.782 0.782 0.248